Compound: TlCrBF6
Source: Alexandria via LeMat-Bulk
Functional: PBE with a Hubbard U
Structure: optimized geometry

Cell: 4.596 5.885 6.858 Å, 101.51 93.29 108.37°
Fractional positions:
Tl 0.000 0.000 0.000
Cr 0.249 0.798 0.514
B 0.542 0.343 0.473
F 0.009 0.762 0.261
F 0.352 0.189 0.590
F 0.360 0.470 0.395
F 0.438 0.838 0.787
F 0.621 0.192 0.317
F 0.804 0.513 0.600

Properties
Total magnetization ... 4.00 μB per cell
Calculated total energy ... -50.33 eV/f.u.